{"formula": "SrCrFe2", "functional": "PBE", "state": "relaxed", "polymorph_energy_mev_per_atom": 758, "formation_energy_mev_per_atom": 1206, "mass_density_g_cm3": 6.9, "lattice_angstrom": [[0.000, 3.114, 3.114], [3.114, 0.000, 3.114], [3.114, 3.114, 0.000]], "species": ["Sr", "Cr", "Fe", "Fe"], "frac_coords": [[0.000, 0.000, 0.000], [0.500, 0.500, 0.500], [0.250, 0.250, 0.250], [0.750, 0.750, 0.750]]}